Version P
Compound: TeRhSeI2
Source: Alexandria via LeMat-Bulk
Functional: PBE
Structure: optimized geometry

abc: 5.5980 5.5980 5.5980
angles: 90.00 90.00 90.00
With the nearest neighbours (Å) after each atom.
Fractional positions:
Te 0.0000 0.0000 0.0000  2 Se 2.80
Rh 0.5000 0.5000 0.0000  4 Te 3.96, 8 I 3.96
Se 0.0000 0.0000 0.5000  4 I 2.80, 2 Te 2.80
I 0.0000 0.5000 0.5000  2 Se 2.80
I 0.5000 0.0000 0.5000  2 Se 2.80

***

Version Q
Compound: TeRhSeI2
Source: Alexandria via LeMat-Bulk
Functional: PBE
Structure: optimized geometry

abc: 5.3566 5.3566 5.1842
angles: 90.00 90.00 90.00
With the nearest neighbours (Å) after each atom.
Fractional positions:
Te 0.0000 0.0000 0.0000  2 Rh 2.59
Rh 0.0000 0.0000 0.5000  2 Te 2.59, 4 I 2.68
Se 0.5000 0.5000 0.0000  8 I 3.73, 4 Te 3.79
I 0.0000 0.5000 0.5000  2 Rh 2.68
I 0.5000 0.0000 0.5000  2 Rh 2.68

***

In terms of stability, version Q leads; the second structure lies 55.7 kJ/mol of atoms higher.

***

Version P
Compound: YRhSe2I
Source: Alexandria via LeMat-Bulk
Functional: PBE
Structure: optimized geometry

abc: 5.0020 5.0020 5.1076
angles: 90.00 90.00 90.00
With the nearest neighbours (Å) after each atom.
Fractional positions:
Y 0.0000 0.0000 0.0000  4 I 3.54, 8 Se 3.57
Rh 0.5000 0.5000 0.5000  4 Se 2.50, 2 I 2.55
Se 0.0000 0.5000 0.5000  2 Rh 2.50
Se 0.5000 0.0000 0.5000  2 Rh 2.50
I 0.5000 0.5000 0.0000  2 Rh 2.55

***

Version Q
Compound: YRhSe2I
Source: Alexandria via LeMat-Bulk
Functional: PBE
Structure: optimized geometry

abc: 5.3035 5.3035 5.7178
angles: 90.00 90.00 90.00
With the nearest neighbours (Å) after each atom.
Fractional positions:
Y 0.0000 0.0000 0.0000  2 I 2.86
Rh 0.5000 0.5000 0.0000  4 Y 3.75, 8 Se 3.90
Se 0.0000 0.5000 0.5000  2 I 2.65
Se 0.5000 0.0000 0.5000  2 I 2.65
I 0.0000 0.0000 0.5000  4 Se 2.65, 2 Y 2.86

***

In terms of stability, version P leads; the second structure lies 136.7 kJ/mol of atoms higher.

***

Version P
Compound: SiRh2I
Source: Alexandria via LeMat-Bulk
Functional: PBE
Structure: optimized geometry

abc: 3.4614 3.3232 6.7792
angles: 90.00 96.25 90.00
With the nearest neighbours (Å) after each atom.
Fractional positions:
Si 0.0000 0.0000 0.0000  6 Rh 2.30-2.54
Rh 0.4960 0.5000 0.8959  4 Si 2.46-2.54, 1 I 2.67
Rh 0.5322 0.0000 0.2360  2 Si 2.30-2.40
I 0.3036 0.5000 0.5030  3 Rh 2.64-2.67

***

Version Q
Compound: SiRh2I
Source: Alexandria via LeMat-Bulk
Functional: PBE
Structure: optimized geometry

abc: 3.7566 3.7613 6.3307
angles: 77.38 77.31 61.08
With the nearest neighbours (Å) after each atom.
Fractional positions:
Si 0.0000 0.0000 0.0000  6 Rh 2.36-2.40
Rh 0.2919 0.3077 0.1588  3 Si 2.36-2.40
Rh 0.6939 0.7067 0.8413  3 Si 2.36-2.40
I 0.6647 0.3334 0.5000  4 Rh 2.80-2.87

***

Version R
Compound: SiRh2I
Source: Alexandria via LeMat-Bulk
Functional: PBE
Structure: optimized geometry

abc: 4.5476 4.5476 4.5476
angles: 60.00 60.00 60.00
With the nearest neighbours (Å) after each atom.
Fractional positions:
Si 0.0000 0.0000 0.0000  8 Rh 2.78
Rh 0.2500 0.2500 0.2500  4 I 2.78, 4 Si 2.78
Rh 0.7500 0.7500 0.7500  4 I 2.78, 4 Si 2.78
I 0.5000 0.5000 0.5000  8 Rh 2.78

***

Version S
Compound: SiRh2I
Source: Alexandria via LeMat-Bulk
Functional: PBE
Structure: optimized geometry

abc: 3.0096 3.0792 7.5349
angles: 90.00 90.00 90.00
With the nearest neighbours (Å) after each atom.
Fractional positions:
Si 0.0000 0.0000 0.0000  8 Rh 2.54
Rh 0.5000 0.5000 0.1785  4 Si 2.54, 1 Rh 2.69
Rh 0.5000 0.5000 0.8215  4 Si 2.54, 1 Rh 2.69
I 0.5000 0.0000 0.5000  4 Rh 2.87, 4 I 3.01-3.08

***

In terms of stability, version Q leads; the second structure lies 9.6 kJ/mol of atoms higher.